Entry from Alexandria via LeMat-Bulk: a geometry-optimized PmYPt2 structure (PBE).

abc: 3.489 5.052 5.052
angles: 90.00 90.00 90.00
Fractional positions:
Y: 0.500 0.000 0.000
Pm: 0.500 0.500 0.500
Pt: 0.000 0.500 0.000
Pt: 0.000 0.000 0.500

Formation enthalpy at 0 K, kJ/mol of atoms: -109
SG: P4/mmm, No. 123
Size of the total moment, Bohr magnetons per cell: 0.0
Distance to the lowest polymorph of the same formula, meV per atom: 80


Entry from Alexandria via LeMat-Bulk: a geometry-optimized PmYPt structure (PBE).

abc: 4.938 4.938 4.938
angles: 60.00 60.00 60.00
Fractional positions:
Pm: 0.500 0.500 0.500
Y: 0.000 0.000 0.000
Pt: 0.250 0.250 0.250

Formation enthalpy at 0 K, kJ/mol of atoms: -76
SG: F-43m, No. 216
Size of the total moment, Bohr magnetons per cell: 0.0
Distance to the lowest polymorph of the same formula, meV per atom: 0


Entry from Alexandria via LeMat-Bulk: a geometry-optimized PmYPt structure (PBE).

abc: 4.234 4.684 4.684
angles: 120.00 90.00 90.00
Fractional positions:
Pt: 0.974 0.000 0.000
Pm: 0.275 0.333 0.667
Y: 0.751 0.667 0.333

Formation enthalpy at 0 K, kJ/mol of atoms: -61
SG: P3m1, No. 156
Size of the total moment, Bohr magnetons per cell: 0.0
Distance to the lowest polymorph of the same formula, meV per atom: 155


Entry from Alexandria via LeMat-Bulk: a geometry-optimized PmY2Pt3 structure (PBE).

abc: 4.123 5.814 7.110
angles: 114.13 106.86 90.00
Fractional positions:
Y: 0.334 0.834 0.669
Y: 0.666 0.166 0.331
Pt: 0.000 0.000 0.000
Pt: 0.671 0.671 0.341
Pt: 0.329 0.329 0.659
Pm: 0.000 0.500 0.000

Formation enthalpy at 0 K, kJ/mol of atoms: -104
SG: Immm, No. 71
Size of the total moment, Bohr magnetons per cell: 0.0


Entry from Alexandria via LeMat-Bulk: a geometry-optimized Pm2YPt structure (PBE).

abc: 6.542 7.160 9.969
angles: 90.00 90.00 90.00
Fractional positions:
Pt: 0.447 0.886 0.250
Pt: 0.947 0.614 0.750
Pt: 0.053 0.386 0.250
Pt: 0.553 0.114 0.750
Pm: 0.824 0.319 0.939
Pm: 0.676 0.819 0.561
Pm: 0.824 0.319 0.561
Pm: 0.324 0.181 0.061
Pm: 0.676 0.819 0.939
Pm: 0.176 0.681 0.061
Pm: 0.176 0.681 0.439
Pm: 0.324 0.181 0.439
Y: 0.141 0.970 0.750
Y: 0.859 0.030 0.250
Y: 0.641 0.530 0.250
Y: 0.359 0.470 0.750

Formation enthalpy at 0 K, kJ/mol of atoms: -64
SG: Pnma, No. 62
Size of the total moment, Bohr magnetons per cell: 0.0
Distance to the lowest polymorph of the same formula, meV per atom: 0


Entry from Alexandria via LeMat-Bulk: a geometry-optimized Pm2YPt structure (PBE).

abc: 3.668 3.668 8.546
angles: 90.00 90.00 90.00
Fractional positions:
Pm: 0.000 0.000 0.196
Pm: 0.000 0.000 0.804
Y: 0.500 0.500 0.500
Pt: 0.500 0.500 0.000

Formation enthalpy at 0 K, kJ/mol of atoms: -48
SG: P4/mmm, No. 123
Size of the total moment, Bohr magnetons per cell: 0.0
Distance to the lowest polymorph of the same formula, meV per atom: 162


Entry from Alexandria via LeMat-Bulk: a geometry-optimized Pm5YPt6 structure (PBE).

abc: 5.074 7.065 8.766
angles: 66.24 73.48 90.00
Fractional positions:
Pm: 0.334 0.834 0.333
Pm: 0.000 0.500 0.000
Pm: 0.667 0.666 0.667
Pm: 0.333 0.334 0.333
Pm: 0.666 0.166 0.667
Pt: 0.500 0.244 0.000
Pt: 0.500 0.756 0.000
Pt: 0.837 0.084 0.325
Pt: 0.163 0.916 0.675
Pt: 0.163 0.409 0.675
Pt: 0.837 0.591 0.325
Y: 0.000 0.000 0.000

Formation enthalpy at 0 K, kJ/mol of atoms: -106
SG: C2/m, No. 12
Size of the total moment, Bohr magnetons per cell: 0.0


Entry from Alexandria via LeMat-Bulk: a geometry-optimized Pm3YPt8 structure (PBE).

abc: 5.485 5.485 9.505
angles: 73.23 73.23 60.00
Fractional positions:
Pm: 0.000 0.000 0.001
Pm: 0.501 0.501 0.498
Pm: 0.375 0.375 0.875
Y: 0.875 0.875 0.376
Pt: 0.437 0.937 0.189
Pt: 0.938 0.439 0.686
Pt: 0.938 0.938 0.686
Pt: 0.437 0.437 0.189
Pt: 0.439 0.938 0.686
Pt: 0.937 0.437 0.189
Pt: 0.688 0.688 0.937
Pt: 0.188 0.188 0.437

Formation enthalpy at 0 K, kJ/mol of atoms: -105
SG: R3m, No. 160
Size of the total moment, Bohr magnetons per cell: 0.0


Entry from Alexandria via LeMat-Bulk: a geometry-optimized PmY3Pt8 structure (PBE).

abc: 5.472 5.472 8.921
angles: 90.00 90.00 120.00
Fractional positions:
Y: 0.667 0.333 0.064
Y: 0.667 0.333 0.432
Y: 0.000 0.000 0.938
Pt: 0.165 0.329 0.249
Pt: 0.995 0.498 0.751
Pt: 0.333 0.667 0.500
Pt: 0.333 0.667 0.999
Pt: 0.502 0.498 0.751
Pt: 0.165 0.835 0.249
Pt: 0.671 0.835 0.249
Pt: 0.502 0.005 0.751
Pm: 0.000 0.000 0.566

Formation enthalpy at 0 K, kJ/mol of atoms: -101
SG: P3m1, No. 156
Size of the total moment, Bohr magnetons per cell: 0.0


Entry from Alexandria via LeMat-Bulk: a geometry-optimized PmYPt2 structure (PBE).

abc: 4.084 4.084 7.346
angles: 73.86 73.86 60.00
Fractional positions:
Pt: 0.246 0.246 0.262
Pt: 0.087 0.087 0.739
Pm: 0.670 0.670 0.991
Y: 0.497 0.497 0.508

Formation enthalpy at 0 K, kJ/mol of atoms: -101
SG: R3m, No. 160
Size of the total moment, Bohr magnetons per cell: 0.0
Distance to the lowest polymorph of the same formula, meV per atom: 164


Entry from Alexandria via LeMat-Bulk: a geometry-optimized PmYPt structure (PBE).

abc: 3.925 3.925 7.131
angles: 74.03 74.03 60.00
Fractional positions:
Pm: 0.528 0.528 0.416
Pt: 0.104 0.104 0.687
Y: 0.353 0.353 0.941

Formation enthalpy at 0 K, kJ/mol of atoms: -65
SG: R3m, No. 160
Size of the total moment, Bohr magnetons per cell: 0.0
Distance to the lowest polymorph of the same formula, meV per atom: 122


Entry from Alexandria via LeMat-Bulk: a geometry-optimized PmY2Pt9 structure (PBE).

abc: 5.433 5.433 9.389
angles: 73.18 73.18 60.00
Fractional positions:
Pt: 0.667 0.667 0.999
Pt: 0.412 0.919 0.256
Pt: 0.500 0.500 0.500
Pt: 0.412 0.412 0.256
Pt: 0.588 0.588 0.744
Pt: 0.081 0.588 0.744
Pt: 0.588 0.081 0.744
Pt: 0.919 0.412 0.256
Pt: 0.333 0.333 0.001
Y: 0.140 0.140 0.581
Y: 0.860 0.860 0.419
Pm: 0.000 0.000 0.000

Formation enthalpy at 0 K, kJ/mol of atoms: -91
SG: R-3m, No. 166
Size of the total moment, Bohr magnetons per cell: 0.0


Entry from Alexandria via LeMat-Bulk: a geometry-optimized PmYPt2 structure (PBE).

abc: 5.017 5.017 5.017
angles: 60.00 60.00 60.00
Fractional positions:
Pt: 0.750 0.750 0.750
Pt: 0.250 0.250 0.250
Y: 0.500 0.500 0.500
Pm: 0.000 0.000 0.000

Formation enthalpy at 0 K, kJ/mol of atoms: -109
SG: Fm-3m, No. 225
Size of the total moment, Bohr magnetons per cell: 0.0
Distance to the lowest polymorph of the same formula, meV per atom: 85


Entry from Alexandria via LeMat-Bulk: a geometry-optimized Pm2YPt structure (PBE).

abc: 3.469 3.469 11.492
angles: 81.32 81.32 60.00
Fractional positions:
Pm: 0.921 0.921 0.237
Pm: 0.079 0.079 0.763
Pt: 0.000 0.000 0.000
Y: 0.500 0.500 0.500

Formation enthalpy at 0 K, kJ/mol of atoms: 13
SG: R-3m, No. 166
Size of the total moment, Bohr magnetons per cell: 0.0
Distance to the lowest polymorph of the same formula, meV per atom: 795


Entry from Alexandria via LeMat-Bulk: a geometry-optimized Pm4YPt5 structure (PBE).

abc: 3.548 3.548 18.045
angles: 90.00 90.00 90.00
Fractional positions:
Y: 0.000 0.000 0.000
Pm: 0.000 0.000 0.803
Pm: 0.000 0.000 0.197
Pm: 0.000 0.000 0.399
Pm: 0.000 0.000 0.601
Pt: 0.500 0.500 0.702
Pt: 0.500 0.500 0.298
Pt: 0.500 0.500 0.500
Pt: 0.500 0.500 0.905
Pt: 0.500 0.500 0.095

Formation enthalpy at 0 K, kJ/mol of atoms: -106
SG: P4/mmm, No. 123
Size of the total moment, Bohr magnetons per cell: 0.0


Entry from Alexandria via LeMat-Bulk: a geometry-optimized Pm2YPt structure (PBE).

abc: 3.982 3.982 9.530
angles: 77.94 77.94 60.00
Fractional positions:
Pm: 0.271 0.271 0.187
Pm: 0.062 0.062 0.814
Y: 0.501 0.501 0.497
Pt: 0.666 0.666 0.002

Formation enthalpy at 0 K, kJ/mol of atoms: -44
SG: R3m, No. 160
Size of the total moment, Bohr magnetons per cell: 0.0
Distance to the lowest polymorph of the same formula, meV per atom: 207


Entry from Alexandria via LeMat-Bulk: a geometry-optimized Pm3Y2Pt4 structure (PBE).

abc: 7.882 7.931 8.463
angles: 90.00 117.75 90.00
Fractional positions:
Pm: 0.452 0.250 0.405
Pm: 0.000 0.000 0.000
Pm: 0.048 0.750 0.595
Pm: 0.548 0.750 0.595
Pm: 0.952 0.250 0.405
Pm: 0.500 0.500 0.000
Pt: 0.792 0.041 0.584
Pt: 0.761 0.250 0.021
Pt: 0.261 0.250 0.021
Pt: 0.239 0.750 0.979
Pt: 0.708 0.541 0.416
Pt: 0.292 0.459 0.584
Pt: 0.208 0.959 0.416
Pt: 0.739 0.750 0.979
Y: 0.105 0.597 0.210
Y: 0.605 0.903 0.210
Y: 0.895 0.403 0.790
Y: 0.395 0.097 0.790

Formation enthalpy at 0 K, kJ/mol of atoms: -90
SG: Cmce, No. 64
Size of the total moment, Bohr magnetons per cell: 0.0


Entry from Alexandria via LeMat-Bulk: a geometry-optimized PmYPt structure (PBE).

abc: 4.930 4.935 8.564
angles: 73.18 90.00 60.03
Fractional positions:
Pm: 0.126 0.754 0.874
Pm: 0.878 0.249 0.131
Y: 0.376 0.254 0.624
Y: 0.629 0.749 0.381
Pt: 0.254 0.498 0.257
Pt: 0.750 0.505 0.747

Formation enthalpy at 0 K, kJ/mol of atoms: -76
SG: C2/m, No. 12
Size of the total moment, Bohr magnetons per cell: 0.0
Distance to the lowest polymorph of the same formula, meV per atom: 0


Entry from Alexandria via LeMat-Bulk: a geometry-optimized Pm2YPt structure (PBE).

abc: 6.543 6.767 11.537
angles: 90.00 90.00 90.00
Fractional positions:
Pt: 0.000 0.750 0.408
Pt: 0.500 0.750 0.092
Pt: 0.000 0.250 0.592
Pt: 0.500 0.250 0.908
Y: 0.250 0.553 0.250
Y: 0.250 0.053 0.750
Y: 0.750 0.947 0.250
Y: 0.750 0.447 0.750
Pm: 0.763 0.915 0.914
Pm: 0.737 0.915 0.586
Pm: 0.237 0.585 0.914
Pm: 0.263 0.085 0.414
Pm: 0.237 0.085 0.086
Pm: 0.763 0.415 0.086
Pm: 0.737 0.415 0.414
Pm: 0.263 0.585 0.586

Formation enthalpy at 0 K, kJ/mol of atoms: -49
SG: Pnna, No. 52
Size of the total moment, Bohr magnetons per cell: 0.0
Distance to the lowest polymorph of the same formula, meV per atom: 153


Entry from Alexandria via LeMat-Bulk: a geometry-optimized PmYPt structure (PBE).

abc: 5.823 7.090 8.546
angles: 92.23 90.00 90.00
Fractional positions:
Y: 0.869 0.307 0.128
Y: 0.369 0.193 0.372
Y: 0.631 0.807 0.628
Y: 0.131 0.693 0.872
Pm: 0.352 0.183 0.876
Pm: 0.148 0.683 0.376
Pm: 0.852 0.317 0.624
Pm: 0.648 0.817 0.124
Pt: 0.658 0.539 0.365
Pt: 0.158 0.961 0.135
Pt: 0.842 0.039 0.865
Pt: 0.342 0.461 0.635

Formation enthalpy at 0 K, kJ/mol of atoms: -72
SG: P2_1/c, No. 14
Size of the total moment, Bohr magnetons per cell: 0.0
Distance to the lowest polymorph of the same formula, meV per atom: 41